[1]
# MnPCl2

A relaxed MnPCl2 crystal (PBE, Alexandria).

Values from the calculation:
energy above the most stable polymorph in this dataset	327	meV per atom
energy	-4.780	eV/atom
spin magnetization	2.44	μB per formula unit
ΔE_f (raw)	-212	meV per atom

a b c (Å): 3.286 7.146 7.149
angles (deg): 38.56 90.00 90.00
Positions (direct):
1 Cl 0.000 0.121 0.121
2 Cl 0.000 0.379 0.379
3 Mn 0.500 0.250 0.250
4 P 0.500 0.750 0.750


[2]
# MnP2Cl

A relaxed MnP2Cl crystal (PBE, Alexandria).

Values from the calculation:
energy above the most stable polymorph in this dataset	976	meV per atom
energy	-4.751	eV/atom
spin magnetization	2.45	μB per formula unit
ΔE_f (raw)	708	meV per atom

a b c (Å): 4.414 4.414 4.414
angles (deg): 60.00 60.00 60.00
Positions (direct):
1 Cl 0.000 0.000 0.000
2 P 0.250 0.250 0.250
3 P 0.750 0.750 0.750
4 Mn 0.500 0.500 0.500


[3]
# MnPCl2

A relaxed MnPCl2 crystal (PBE, Alexandria).

Values from the calculation:
energy above the most stable polymorph in this dataset	628	meV per atom
energy	-4.480	eV/atom
spin magnetization	5.51	μB per formula unit
ΔE_f (raw)	88	meV per atom

a b c (Å): 3.053 3.053 11.315
angles (deg): 90.00 90.00 90.00
Positions (direct):
1 P 0.500 0.500 0.750
2 Cl 0.000 0.000 0.113
3 Cl 0.000 0.000 0.387
4 Mn 0.500 0.500 0.250


[4]
# MnP2Cl

A relaxed MnP2Cl crystal (PBE, Alexandria).

Values from the calculation:
energy above the most stable polymorph in this dataset	333	meV per atom
energy	-5.394	eV/atom
spin magnetization	0.84	μB per formula unit
ΔE_f (raw)	65	meV per atom

a b c (Å): 7.306 7.306 7.306
angles (deg): 25.00 25.00 25.00
Positions (direct):
1 Mn 0.750 0.750 0.750
2 P 0.483 0.483 0.483
3 P 0.017 0.017 0.017
4 Cl 0.250 0.250 0.250


[5]
# MnP2Cl

A relaxed MnP2Cl crystal (PBE, Alexandria).

Values from the calculation:
energy above the most stable polymorph in this dataset	208	meV per atom
energy	-5.519	eV/atom
spin magnetization	4.08	μB per formula unit
ΔE_f (raw)	-60	meV per atom

a b c (Å): 3.261 3.261 7.358
angles (deg): 90.00 90.00 90.00
Positions (direct):
1 Mn 0.500 0.500 0.779
2 P 0.000 0.000 0.029
3 P 0.500 0.500 0.106
4 Cl 0.000 0.000 0.587


[6]
# MnP2Cl

A relaxed MnP2Cl crystal (PBE, Alexandria).

Values from the calculation:
energy above the most stable polymorph in this dataset	458	meV per atom
energy	-5.269	eV/atom
spin magnetization	4.54	μB per formula unit
ΔE_f (raw)	190	meV per atom

a b c (Å): 6.137 3.436 3.436
angles (deg): 90.00 90.00 90.00
Positions (direct):
1 P 0.000 0.500 0.500
2 P 0.000 0.000 0.000
3 Cl 0.500 0.500 0.000
4 Mn 0.500 0.000 0.500